Material: Y3MnRu
Method: DFT, PBE
State: optimized geometry

Computed properties:
Calculated total energy (eV/cell): -36.65

a b c (Å): 5.325 5.325 5.325
angles (deg): 90.00 90.00 90.00
Space group Pm-3m (No. 221)
Symmetry-distinct sites (fractional):
Y 0.000 0.000 0.500 (multiplicity 3)
Mn 0.500 0.500 0.500 (multiplicity 1)
Ru 0.000 0.000 0.000 (multiplicity 1)

***

Material: Y2Mn2Ru
Method: DFT, PBE
State: optimized geometry

Computed properties:
Calculated total energy (eV/cell): -80.06

a b c (Å): 6.340 6.340 4.603
angles (deg): 90.00 90.00 90.00
Space group P4/mbm (No. 127)
Symmetry-distinct sites (fractional):
Y 0.183 0.317 0.000 (multiplicity 4)
Mn 0.115 0.615 0.500 (multiplicity 4)
Ru 0.000 0.000 0.500 (multiplicity 2)

***

Material: YMnZnRu2
Method: DFT, PBE
State: optimized geometry

Computed properties:
Calculated total energy (eV/cell): -24.96

a b c (Å): 4.827 4.827 4.650
angles (deg): 90.00 90.00 90.00
Space group P4/mmm (No. 123)
Symmetry-distinct sites (fractional):
Y 0.000 0.000 0.000 (multiplicity 1)
Mn 0.000 0.000 0.500 (multiplicity 1)
Zn 0.500 0.500 0.500 (multiplicity 1)
Ru 0.000 0.500 0.000 (multiplicity 2)

***

Material: Mn2ZnRu
Method: DFT, PBE
State: optimized geometry

Computed properties:
Calculated total energy (eV/cell): -28.35

a b c (Å): 3.744 3.744 3.738
angles (deg): 90.00 90.00 90.00
Space group P4/mmm (No. 123)
Symmetry-distinct sites (fractional):
Mn 0.000 0.500 0.000 (multiplicity 2)
Zn 0.000 0.000 0.500 (multiplicity 1)
Ru 0.500 0.500 0.500 (multiplicity 1)

***

Material: MnZnRu
Method: DFT, PBE
State: optimized geometry

Computed properties:
Calculated total energy (eV/cell): -74.00

a b c (Å): 5.620 5.620 5.620
angles (deg): 90.00 90.00 90.00
Space group F-43m (No. 216)
Symmetry-distinct sites (fractional):
Mn 0.000 0.000 0.000 (multiplicity 4)
Zn 0.250 0.250 0.250 (multiplicity 4)
Ru 0.250 0.250 0.750 (multiplicity 4)

***

Material: Mn2ZnRu
Method: DFT, PBE
State: optimized geometry

Computed properties:
Calculated total energy (eV/cell): -85.35

a b c (Å): 2.6536 2.6536 25.3986
angles (deg): 90.00 90.00 120.00
Space group R3m (No. 160, hexagonal axes)
Symmetry-distinct sites (fractional):
Mn 0.0000 0.0000 0.0000 (multiplicity 3)
Mn 0.0000 0.0000 0.2565 (multiplicity 3)
Zn 0.0000 0.0000 0.7529 (multiplicity 3)
Ru 0.0000 0.0000 0.5093 (multiplicity 3)